# 1
# Rb2DyFe

Rb2DyFe after structural relaxation (PBE-GGA, OQMD via LeMat-Bulk).

Computed properties:
* total magnetization: 2.9 μB/cell
* symmetry: No. 38
* energy: -2.590 eV per atom

a b c (Å): 13.1636 3.5658 3.5658
angles (deg): 59.58 90.00 90.00
Fractional coordinates of all 4 atoms:
Rb: 0.2168 0.0000 0.0000
Rb: 0.7832 0.0000 0.0000
Dy: 0.5000 0.0011 0.0011
Fe: 0.0000 0.6709 0.6709

---

# 2
# CsPrSnSe3

CsPrSnSe3 after structural relaxation (PBE-GGA, OQMD via LeMat-Bulk).

Computed properties:
* offset from the most stable computed form: 0 meV per atom
* total magnetization: 0.0 μB/cell
* symmetry: No. 62
* energy: -4.618 eV per atom

a b c (Å): 12.0580 4.2713 16.4978
angles (deg): 90.00 90.00 90.00
Fractional coordinates of all 24 atoms:
Cs: 0.1569 0.2500 0.0873
Cs: 0.3431 0.7500 0.5873
Cs: 0.6569 0.2500 0.4127
Cs: 0.8431 0.7500 0.9127
Pr: 0.0738 0.2500 0.3945
Pr: 0.4262 0.7500 0.8945
Pr: 0.5738 0.2500 0.1055
Pr: 0.9262 0.7500 0.6055
Sn: 0.1604 0.2500 0.7916
Sn: 0.3396 0.7500 0.2916
Sn: 0.6604 0.2500 0.7084
Sn: 0.8396 0.7500 0.2084
Se: 0.0951 0.2500 0.5734
Se: 0.1158 0.7500 0.2664
Se: 0.1715 0.7500 0.9033
Se: 0.3285 0.2500 0.4033
Se: 0.3842 0.2500 0.7664
Se: 0.4049 0.7500 0.0734
Se: 0.5951 0.2500 0.9266
Se: 0.6158 0.7500 0.2336
Se: 0.6715 0.7500 0.5967
Se: 0.8285 0.2500 0.0967
Se: 0.8842 0.2500 0.7336
Se: 0.9049 0.7500 0.4266

---

# 3
# Y3Ho3Bi2Os

Y3Ho3Bi2Os after structural relaxation (PBE-GGA, OQMD via LeMat-Bulk).

Computed properties:
* offset from the most stable computed form: 0 meV per atom
* total magnetization: 0.0 μB/cell
* symmetry: No. 189
* energy: -6.399 eV per atom

a b c (Å): 8.2956 8.2956 4.2388
angles (deg): 90.00 90.00 120.00
Fractional coordinates of all 9 atoms:
Y: 0.0000 0.3893 0.0000
Y: 0.3893 0.0000 0.0000
Y: 0.6107 0.6107 0.0000
Ho: 0.0000 0.7678 0.5000
Ho: 0.2322 0.2322 0.5000
Ho: 0.7678 0.0000 0.5000
Bi: 0.3333 0.6667 0.5000
Bi: 0.6667 0.3333 0.5000
Os: 0.0000 0.0000 0.0000

---

# 4
# Pm2Zr

Pm2Zr after structural relaxation (PBE-GGA, OQMD via LeMat-Bulk).

Computed properties:
* offset from the most stable computed form: 188 meV per atom
* total magnetization: 1.8 μB/cell
* symmetry: No. 225
* energy of formation from the pure elements: 767 meV/atom
* energy: -5.245 eV per atom

a b c (Å): 5.2887 5.2887 5.2887
angles (deg): 60.00 60.00 60.00
Fractional coordinates of all 3 atoms:
Pm: 0.2500 0.2500 0.2500
Pm: 0.7500 0.7500 0.7500
Zr: 0.0000 0.0000 0.0000